AlF, optimized geometry, DFT PBE-GGA; D(E_F) = 1.32 states/eV per cell; uncorrected formation energy = -1.082 eV/atom; energy = -31.11 eV for the cell shown; size of the total moment = 0.000 μB per atom
1.0
-0.920 -4.432 3.137
0.662 -3.250 -4.397
5.390 -0.357 1.076
Al F
4 4
direct
0.000 0.000 0.000
0.000 0.500 0.500
0.500 0.000 0.500
0.500 0.500 0.000
0.250 0.250 0.250
0.250 0.750 0.750
0.750 0.250 0.750
0.750 0.750 0.250